[1]
DFT (GGA-PBE) results for a relaxed BaPbSeS crystal.

## Properties
**Raw formation energy**: -1.29 eV per atom
**Theoretical density**: 5.9 g cm⁻³
**Crystal system**: trigonal

```
4
Lattice="-4.1491 -1.0891 -1.3364 -0.6984 -3.8066 -2.2823 -2.7018 -5.1957 5.0700" Properties=species:S:1:pos:R:3 pbc="T T T"
S -1.8786 -2.4942 0.3122
Ba -3.7601 -4.9979 0.6414
Pb -4.8531 -4.9143 -3.5860
Se -5.6797 -7.6267 1.1907
```

***

[2]
DFT (GGA-PBE) results for a relaxed Pm3GaIr2 crystal.

## Properties
**Energy relative to the elements**: -0.6224 eV per atom
**Theoretical density**: 9.8 g cm⁻³
**Polymorph energy (0 for the lowest one)**: 4.1 kJ per mole of atoms
**Crystal system**: trigonal

```
12
Lattice="-4.2174 -4.9045 -2.8077 3.9420 -5.1321 -2.8010 -0.1606 -5.6337 4.2378" Properties=species:S:1:pos:R:3 pbc="T T T"
Ir -0.1475 -5.3025 -0.4639
Ir -0.3655 -13.1376 -1.1493
Ir -0.0705 -2.5327 -0.2216
Ir -0.2885 -10.3678 -0.9070
Pm 2.6036 -6.6169 -0.4554
Pm 1.2448 -8.9775 -3.1458
Pm -1.4678 -6.2781 -3.0331
Pm -3.0395 -9.0534 -0.9154
Pm -1.6807 -6.6928 1.7750
Pm 1.0318 -9.3921 1.6623
Ga 0.0000 0.0000 0.0000
Ga -0.2180 -7.8351 -0.6854
```

***

[3]
DFT (GGA-PBE) results for a relaxed CrIrCl2 crystal.

## Properties
**Raw formation energy**: 0.57 eV per atom
**Theoretical density**: 7.5 g cm⁻³
**Polymorph energy (0 for the lowest one)**: 72.7 kJ per mole of atoms
**Crystal system**: tetragonal

```
4
Lattice="6.1160 0.0117 0.0000 4.0510 4.5821 0.0000 -5.0835 -2.2969 2.5076" Properties=species:S:1:pos:R:3 pbc="T T T"
Cl 0.0000 0.0000 0.0000
Cl 3.0580 0.0059 1.2538
Cr 5.0835 2.2969 0.0000
Ir 2.0255 2.2910 1.2538
```

***

[4]
DFT (GGA-PBE) results for a relaxed SrBe2InCo crystal.

## Properties
**Energy relative to the elements**: 0.7476 eV per atom
**Theoretical density**: 4.4 g cm⁻³
**Crystal system**: tetragonal

```
5
Lattice="4.6050 0.0000 0.0000 0.0000 4.9813 0.0000 0.0000 0.0000 4.6050" Properties=species:S:1:pos:R:3 pbc="T T T"
Sr 2.3025 2.4906 2.3025
In 0.0000 0.0000 0.0000
Be 2.3025 0.0000 0.0000
Be 0.0000 0.0000 2.3025
Co 0.0000 2.4906 0.0000
```

***

[5]
DFT (GGA-PBE) results for a relaxed TiAg2HgH crystal.

## Properties
**Theoretical density**: 7.9 g cm⁻³
**VASP energy**: -2.76 eV per atom
**Crystal system**: tetragonal

```
5
Lattice="-5.1394 1.5494 -0.0179 -0.9221 -3.0716 -1.1240 -0.5286 -1.6950 5.0657" Properties=species:S:1:pos:R:3 pbc="T T T"
Ag -0.2643 -0.8475 2.5329
Ag -2.5697 0.7747 -0.0089
Ti -3.2951 -1.6086 1.9620
H -0.4611 -1.5358 -0.5620
Hg 0.0000 0.0000 0.0000
```

***

[6]
DFT (GGA-PBE) results for a relaxed RbHo2AuS4 crystal.

## Properties
**Raw formation energy**: -1.53 eV per atom
**Theoretical density**: 6.2 g cm⁻³
**Crystal system**: orthorhombic

```
16
Lattice="-1.8356 -3.2658 1.5232 4.8614 -2.4226 -4.7043 9.6497 -0.6229 10.2928" Properties=species:S:1:pos:R:3 pbc="T T T"
S 1.9449 -2.2517 2.8846
S 3.0009 -2.1624 -1.0198
S 0.0000 0.0000 0.0000
S 4.8249 -0.3114 5.1464
S 9.6746 -4.1489 8.1315
S 6.7665 -3.9612 5.0296
S 10.7306 -4.0596 4.2271
S 5.9090 -2.3501 2.0821
Au 8.9933 -4.8497 5.8080
Au 3.6822 -1.4616 1.3037
Ho 0.7548 -2.7358 0.4125
Ho 8.3765 -3.3467 2.9187
Ho 11.9207 -3.5755 6.6992
Ho 4.2991 -2.9646 4.1930
Rb 4.5032 -4.8825 0.3270
Rb 8.1724 -1.4288 6.7847
```

***

[7]
DFT (GGA-PBE) results for a relaxed DyHf2Fe crystal.

## Properties
**Energy relative to the elements**: 0.0103 eV per atom
**Theoretical density**: 11.4 g cm⁻³
**Polymorph energy (0 for the lowest one)**: 0.0 kJ per mole of atoms
**Crystal system**: tetragonal

```
4
Lattice="3.2184 0.0000 0.0000 0.0000 3.2184 0.0000 0.0000 0.0000 8.1087" Properties=species:S:1:pos:R:3 pbc="T T T"
Hf 0.0000 0.0000 6.6152
Hf 0.0000 0.0000 1.4935
Dy 1.6092 1.6092 4.0544
Fe 1.6092 1.6092 0.0000
```

***

[8]
DFT (GGA-PBE) results for a relaxed VZnPt3 crystal.

## Properties
**Energy relative to the elements**: 0.7364 eV per atom
**Theoretical density**: 11.7 g cm⁻³
**Polymorph energy (0 for the lowest one)**: 0.0 kJ per mole of atoms
**Crystal system**: cubic

```
5
Lattice="4.6398 0.0000 0.0000 0.0000 4.6398 0.0000 0.0000 0.0000 4.6398" Properties=species:S:1:pos:R:3 pbc="T T T"
Zn 2.3199 2.3199 2.3199
V 0.0000 0.0000 0.0000
Pt 0.0000 2.3199 0.0000
Pt 0.0000 0.0000 2.3199
Pt 2.3199 0.0000 0.0000
```